Record 1
# TaBe2Os (GGA-PBE, relaxed)
data_TaBe2Os
_symmetry_space_group_name_H-M 'C 1 2/m 1'
_symmetry_Int_Tables_number 12
_cell_length_a 7.7552
_cell_length_b 3.1259
_cell_length_c 4.5683
_cell_angle_alpha 90.00
_cell_angle_beta 112.77
_cell_angle_gamma 90.00
loop_
_symmetry_equiv_pos_as_xyz
'x,y,z'
'-x,-y,-z'
'-x,y,-z'
'x,-y,z'
'x+1/2,y+1/2,z'
'-x+1/2,-y+1/2,-z'
'-x+1/2,y+1/2,-z'
'x+1/2,-y+1/2,z'
loop_
_atom_site_label
_atom_site_type_symbol
_atom_site_fract_x
_atom_site_fract_y
_atom_site_fract_z
Ta1 Ta 0.0000 0.0000 0.0000
Be1 Be 0.2358 0.0000 0.6507
Os1 Os 0.0000 0.5000 0.5000
# **ΔE_f**: -7.5 kJ/mol of atoms
# **Crystal system**: monoclinic
# **Excess energy over the best structure of this formula in the dataset**: 86 kJ/mol of formula units



Record 2
# NaTlInSb (GGA-PBE, relaxed)
data_NaTlInSb
_symmetry_space_group_name_H-M 'P m m m'
_symmetry_Int_Tables_number 47
_cell_length_a 4.4784
_cell_length_b 4.8472
_cell_length_c 5.1034
_cell_angle_alpha 90.00
_cell_angle_beta 90.00
_cell_angle_gamma 90.00
loop_
_symmetry_equiv_pos_as_xyz
'x,y,z'
'-x,-y,-z'
'-x,-y,z'
'x,y,-z'
'x,-y,-z'
'-x,y,z'
'-x,y,-z'
'x,-y,z'
loop_
_atom_site_label
_atom_site_type_symbol
_atom_site_fract_x
_atom_site_fract_y
_atom_site_fract_z
Na1 Na 0.0000 0.0000 0.0000
Tl1 Tl 0.5000 0.5000 0.0000
In1 In 0.0000 0.5000 0.5000
Sb1 Sb 0.5000 0.0000 0.5000
# **Crystal system**: orthorhombic
# **Formation energy without anion corrections**: -0.136 eV/atom
# **Excess energy over the best structure of this formula in the dataset**: 0 kJ/mol of formula units



Record 3
# TbCeY2As4 (GGA-PBE, relaxed)
data_TbCeY2As4
_symmetry_space_group_name_H-M 'P 1 2/m 1'
_symmetry_Int_Tables_number 10
_cell_length_a 7.1824
_cell_length_b 4.1525
_cell_length_c 7.1872
_cell_angle_alpha 90.00
_cell_angle_beta 109.43
_cell_angle_gamma 90.00
loop_
_symmetry_equiv_pos_as_xyz
'x,y,z'
'-x,-y,-z'
'-x,y,-z'
'x,-y,z'
loop_
_atom_site_label
_atom_site_type_symbol
_atom_site_fract_x
_atom_site_fract_y
_atom_site_fract_z
Tb1 Tb 0.0000 0.0000 0.0000
Ce1 Ce 0.0000 0.5000 0.5000
Y1 Y 0.5000 0.0000 0.5000
Y2 Y 0.5000 0.5000 0.0000
As1 As 0.2508 0.5000 0.2499
As2 As 0.2523 0.0000 0.7519
# **ΔE_f**: -147.0 kJ/mol of atoms
# **Crystal system**: monoclinic



Record 4
# NaPuAu10 (GGA-PBE, relaxed)
data_NaPuAu10
_symmetry_space_group_name_H-M 'P m m m'
_symmetry_Int_Tables_number 47
_cell_length_a 4.6722
_cell_length_b 5.5966
_cell_length_c 9.7328
_cell_angle_alpha 90.00
_cell_angle_beta 90.00
_cell_angle_gamma 90.00
loop_
_symmetry_equiv_pos_as_xyz
'x,y,z'
'-x,-y,-z'
'-x,-y,z'
'x,y,-z'
'x,-y,-z'
'-x,y,z'
'-x,y,-z'
'x,-y,z'
loop_
_atom_site_label
_atom_site_type_symbol
_atom_site_fract_x
_atom_site_fract_y
_atom_site_fract_z
Na1 Na 0.0000 0.0000 0.0000
Pu1 Pu 0.0000 0.5000 0.5000
Au1 Au 0.0000 0.0000 0.3299
Au2 Au 0.0000 0.5000 0.1644
Au3 Au 0.5000 0.0000 0.5000
Au4 Au 0.5000 0.2538 0.2542
Au5 Au 0.5000 0.5000 0.0000
# **ΔE_f**: -20.4 kJ/mol of atoms
# **Crystal system**: orthorhombic



Record 5
# Cs3CdAs2O6 (GGA-PBE, relaxed)
data_Cs3CdAs2O6
_symmetry_space_group_name_H-M 'P -3 m 1'
_symmetry_Int_Tables_number 164
_symmetry_space_group_name_Hall '-P 3 2"'
_cell_length_a 6.2540
_cell_length_b 6.2540
_cell_length_c 7.8159
_cell_angle_alpha 90.00
_cell_angle_beta 90.00
_cell_angle_gamma 120.00
loop_
_atom_site_label
_atom_site_type_symbol
_atom_site_fract_x
_atom_site_fract_y
_atom_site_fract_z
Cs1 Cs 0.0000 0.0000 0.0000
Cs2 Cs 0.3333 0.6667 0.6864
Cd1 Cd 0.0000 0.0000 0.5000
As1 As 0.3333 0.6667 0.2403
O1 O 0.1803 0.3607 0.3209
# **Crystal system**: trigonal
# **Formation energy without anion corrections**: -1.359 eV/atom



Record 6
# Ca2TbY (GGA-PBE, relaxed)
data_Ca2TbY
_symmetry_space_group_name_H-M 'R 3 m'
_symmetry_Int_Tables_number 160
_symmetry_space_group_name_Hall 'R 3 -2"'
_cell_length_a 3.6729
_cell_length_b 3.6729
_cell_length_c 36.8888
_cell_angle_alpha 90.00
_cell_angle_beta 90.00
_cell_angle_gamma 120.00
loop_
_atom_site_label
_atom_site_type_symbol
_atom_site_fract_x
_atom_site_fract_y
_atom_site_fract_z
Ca1 Ca 0.0000 0.0000 0.0000
Ca2 Ca 0.0000 0.0000 0.1656
Tb1 Tb 0.0000 0.0000 0.5828
Y1 Y 0.0000 0.0000 0.7493
# **ΔE_f**: 12.2 kJ/mol of atoms
# **Crystal system**: trigonal
# **Excess energy over the best structure of this formula in the dataset**: 1 kJ/mol of formula units



Record 7
# K2CdIn (GGA-PBE, relaxed)
data_K2CdIn
_symmetry_space_group_name_H-M 'P 1 2/m 1'
_symmetry_Int_Tables_number 10
_cell_length_a 4.3928
_cell_length_b 4.6713
_cell_length_c 7.4908
_cell_angle_alpha 90.00
_cell_angle_beta 90.30
_cell_angle_gamma 90.00
loop_
_symmetry_equiv_pos_as_xyz
'x,y,z'
'-x,-y,-z'
'-x,y,-z'
'x,-y,z'
loop_
_atom_site_label
_atom_site_type_symbol
_atom_site_fract_x
_atom_site_fract_y
_atom_site_fract_z
K1 K 0.0004 0.0000 0.2477
Cd1 Cd 0.5000 0.5000 0.5000
In1 In 0.5000 0.5000 0.0000
# **ΔE_f**: 4.4 kJ/mol of atoms
# **Crystal system**: monoclinic



Record 8
# BaLi2MgSn (GGA-PBE, relaxed)
data_BaLi2MgSn
_symmetry_space_group_name_H-M 'P 4/m m m'
_symmetry_Int_Tables_number 123
_symmetry_space_group_name_Hall '-P 4 2'
_cell_length_a 5.3182
_cell_length_b 5.3182
_cell_length_c 5.5978
_cell_angle_alpha 90.00
_cell_angle_beta 90.00
_cell_angle_gamma 90.00
loop_
_atom_site_label
_atom_site_type_symbol
_atom_site_fract_x
_atom_site_fract_y
_atom_site_fract_z
Ba1 Ba 0.0000 0.0000 0.0000
Li1 Li 0.0000 0.5000 0.5000
Mg1 Mg 0.5000 0.5000 0.0000
Sn1 Sn 0.5000 0.5000 0.5000
# **ΔE_f**: -12.3 kJ/mol of atoms
# **Crystal system**: tetragonal



N(E_F) list, top to bottom, in states/eV/atom: 0.42 0.60 0.79 1.85 0.17 1.71 0.70 0.65
Magnetic moment list, top to bottom, in μB/f.u.: 0.0 0.0 0.6 5.9 1.1 0.5 0.0 0.4